Version i
# ScMoI2N (PBE, relaxed)
# Total magnetization ... 5.3 μB per cell
# DOS(E_F) ... 4.0 states/eV per cell
# Theoretical density ... 4.98 g/cm3
data_ScMoI2N
_symmetry_space_group_name_H-M 'P 4/m m m'
_symmetry_Int_Tables_number 123
_symmetry_space_group_name_Hall '-P 4 2'
_cell_length_a 5.909
_cell_length_b 5.909
_cell_length_c 3.903
_cell_angle_alpha 90.00
_cell_angle_beta 90.00
_cell_angle_gamma 90.00
loop_
_atom_site_label
_atom_site_fract_x
_atom_site_fract_y
_atom_site_fract_z
Sc1 0.000 0.000 0.000
Mo1 0.500 0.500 0.500
I1 0.000 0.500 0.000
N1 0.000 0.000 0.500

Version ii
# ScMoI2N (PBE, relaxed)
# Total magnetization ... 0.5 μB per cell
# DOS(E_F) ... 5.4 states/eV per cell
# Theoretical density ... 5.59 g/cm3
data_ScMoI2N
_symmetry_space_group_name_H-M 'P 4/m m m'
_symmetry_Int_Tables_number 123
_symmetry_space_group_name_Hall '-P 4 2'
_cell_length_a 5.634
_cell_length_b 5.634
_cell_length_c 3.824
_cell_angle_alpha 90.00
_cell_angle_beta 90.00
_cell_angle_gamma 90.00
loop_
_atom_site_label
_atom_site_fract_x
_atom_site_fract_y
_atom_site_fract_z
Sc1 0.000 0.000 0.000
Mo1 0.500 0.500 0.500
I1 0.000 0.500 0.500
N1 0.500 0.500 0.000

Relative stability in eV/atom, measured from the most stable structure: version i 0.328; version ii 0.000

Version i
# MoSeIN2 (PBE, relaxed)
# Total magnetization ... 4.0 μB per cell
# DOS(E_F) ... 3.0 states/eV per cell
# Theoretical density ... 5.12 g/cm3
data_MoSeIN2
_symmetry_space_group_name_H-M 'P 4/m m m'
_symmetry_Int_Tables_number 123
_symmetry_space_group_name_Hall '-P 4 2'
_cell_length_a 3.921
_cell_length_b 3.921
_cell_length_c 6.955
_cell_angle_alpha 90.00
_cell_angle_beta 90.00
_cell_angle_gamma 90.00
loop_
_atom_site_label
_atom_site_fract_x
_atom_site_fract_y
_atom_site_fract_z
Mo1 0.000 0.000 0.000
Se1 0.500 0.500 0.000
I1 0.500 0.500 0.500
N1 0.000 0.500 0.500

Version ii
# MoSeIN2 (PBE, relaxed)
# Total magnetization ... 0.0 μB per cell
# DOS(E_F) ... 5.2 states/eV per cell
# Theoretical density ... 5.81 g/cm3
data_MoSeIN2
_symmetry_space_group_name_H-M 'P 4/m m m'
_symmetry_Int_Tables_number 123
_symmetry_space_group_name_Hall '-P 4 2'
_cell_length_a 3.966
_cell_length_b 3.966
_cell_length_c 5.995
_cell_angle_alpha 90.00
_cell_angle_beta 90.00
_cell_angle_gamma 90.00
loop_
_atom_site_label
_atom_site_fract_x
_atom_site_fract_y
_atom_site_fract_z
Mo1 0.000 0.000 0.000
Se1 0.500 0.500 0.500
I1 0.000 0.000 0.500
N1 0.000 0.500 0.000

Relative stability in eV/atom, measured from the most stable structure: version i 1.274; version ii 0.000

Version i
# MoSeIN2 (PBE, relaxed)
# Total magnetization ... 4.9 μB per cell
# DOS(E_F) ... 3.2 states/eV per cell
# Theoretical density ... 5.08 g/cm3
data_MoSeIN2
_symmetry_space_group_name_H-M 'P 4/m m m'
_symmetry_Int_Tables_number 123
_symmetry_space_group_name_Hall '-P 4 2'
_cell_length_a 3.913
_cell_length_b 3.913
_cell_length_c 7.036
_cell_angle_alpha 90.00
_cell_angle_beta 90.00
_cell_angle_gamma 90.00
loop_
_atom_site_label
_atom_site_fract_x
_atom_site_fract_y
_atom_site_fract_z
Mo1 0.000 0.000 0.000
Se1 0.500 0.500 0.500
I1 0.500 0.500 0.000
N1 0.000 0.500 0.500

Version ii
# MoSeIN2 (PBE, relaxed)
# Total magnetization ... 0.0 μB per cell
# DOS(E_F) ... 3.8 states/eV per cell
# Theoretical density ... 6.13 g/cm3
data_MoSeIN2
_symmetry_space_group_name_H-M 'P 4/m m m'
_symmetry_Int_Tables_number 123
_symmetry_space_group_name_Hall '-P 4 2'
_cell_length_a 3.993
_cell_length_b 3.993
_cell_length_c 5.602
_cell_angle_alpha 90.00
_cell_angle_beta 90.00
_cell_angle_gamma 90.00
loop_
_atom_site_label
_atom_site_fract_x
_atom_site_fract_y
_atom_site_fract_z
Mo1 0.000 0.000 0.000
Se1 0.000 0.000 0.500
I1 0.500 0.500 0.500
N1 0.000 0.500 0.000

Relative stability in eV/atom, measured from the most stable structure: version i 1.390; version ii 0.000

Version i
# MoSe2IN (PBE, relaxed)
# Total magnetization ... 0.0 μB per cell
# DOS(E_F) ... 3.6 states/eV per cell
# Theoretical density ... 6.35 g/cm3
data_MoSe2IN
_symmetry_space_group_name_H-M 'P 4/m m m'
_symmetry_Int_Tables_number 123
_symmetry_space_group_name_Hall '-P 4 2'
_cell_length_a 5.177
_cell_length_b 5.177
_cell_length_c 3.854
_cell_angle_alpha 90.00
_cell_angle_beta 90.00
_cell_angle_gamma 90.00
loop_
_atom_site_label
_atom_site_fract_x
_atom_site_fract_y
_atom_site_fract_z
Mo1 0.000 0.000 0.000
Se1 0.000 0.500 0.000
I1 0.500 0.500 0.500
N1 0.000 0.000 0.500

Version ii
# MoSe2IN (PBE, relaxed)
# Total magnetization ... 3.9 μB per cell
# DOS(E_F) ... 2.4 states/eV per cell
# Theoretical density ... 5.62 g/cm3
data_MoSe2IN
_symmetry_space_group_name_H-M 'P 4/m m m'
_symmetry_Int_Tables_number 123
_symmetry_space_group_name_Hall '-P 4 2'
_cell_length_a 5.467
_cell_length_b 5.467
_cell_length_c 3.904
_cell_angle_alpha 90.00
_cell_angle_beta 90.00
_cell_angle_gamma 90.00
loop_
_atom_site_label
_atom_site_fract_x
_atom_site_fract_y
_atom_site_fract_z
Mo1 0.000 0.000 0.000
Se1 0.000 0.500 0.500
I1 0.500 0.500 0.500
N1 0.500 0.500 0.000

Relative stability in eV/atom, measured from the most stable structure: version i 0.000; version ii 1.350

Version i
# SiMoI2N (PBE, relaxed)
# Total magnetization ... 0.0 μB per cell
# DOS(E_F) ... 3.9 states/eV per cell
# Theoretical density ... 5.47 g/cm3
data_SiMoI2N
_symmetry_space_group_name_H-M 'P 4/m m m'
_symmetry_Int_Tables_number 123
_symmetry_space_group_name_Hall '-P 4 2'
_cell_length_a 5.578
_cell_length_b 5.578
_cell_length_c 3.824
_cell_angle_alpha 90.00
_cell_angle_beta 90.00
_cell_angle_gamma 90.00
loop_
_atom_site_label
_atom_site_fract_x
_atom_site_fract_y
_atom_site_fract_z
Si1 0.000 0.000 0.000
Mo1 0.500 0.500 0.500
I1 0.000 0.500 0.500
N1 0.500 0.500 0.000

Version ii
# SiMoI2N (PBE, relaxed)
# Total magnetization ... 4.0 μB per cell
# DOS(E_F) ... 2.5 states/eV per cell
# Theoretical density ... 5.86 g/cm3
data_SiMoI2N
_symmetry_space_group_name_H-M 'P 4/m m m'
_symmetry_Int_Tables_number 123
_symmetry_space_group_name_Hall '-P 4 2'
_cell_length_a 5.740
_cell_length_b 5.740
_cell_length_c 3.368
_cell_angle_alpha 90.00
_cell_angle_beta 90.00
_cell_angle_gamma 90.00
loop_
_atom_site_label
_atom_site_fract_x
_atom_site_fract_y
_atom_site_fract_z
Si1 0.000 0.000 0.000
Mo1 0.500 0.500 0.500
I1 0.000 0.500 0.000
N1 0.000 0.000 0.500

Relative stability in eV/atom, measured from the most stable structure: version i 0.000; version ii 0.203

Version i
# SnMoIN2 (PBE, relaxed)
# Total magnetization ... 5.4 μB per cell
# DOS(E_F) ... 3.5 states/eV per cell
# Theoretical density ... 5.42 g/cm3
data_SnMoIN2
_symmetry_space_group_name_H-M 'P 4/m m m'
_symmetry_Int_Tables_number 123
_symmetry_space_group_name_Hall '-P 4 2'
_cell_length_a 4.106
_cell_length_b 4.106
_cell_length_c 6.720
_cell_angle_alpha 90.00
_cell_angle_beta 90.00
_cell_angle_gamma 90.00
loop_
_atom_site_label
_atom_site_fract_x
_atom_site_fract_y
_atom_site_fract_z
Sn1 0.000 0.000 0.000
Mo1 0.500 0.500 0.500
I1 0.000 0.000 0.500
N1 0.000 0.500 0.000

Version ii
# SnMoIN2 (PBE, relaxed)
# Total magnetization ... 0.0 μB per cell
# DOS(E_F) ... 2.7 states/eV per cell
# Theoretical density ... 6.42 g/cm3
data_SnMoIN2
_symmetry_space_group_name_H-M 'P 4/m m m'
_symmetry_Int_Tables_number 123
_symmetry_space_group_name_Hall '-P 4 2'
_cell_length_a 4.138
_cell_length_b 4.138
_cell_length_c 5.585
_cell_angle_alpha 90.00
_cell_angle_beta 90.00
_cell_angle_gamma 90.00
loop_
_atom_site_label
_atom_site_fract_x
_atom_site_fract_y
_atom_site_fract_z
Sn1 0.000 0.000 0.000
Mo1 0.500 0.500 0.500
I1 0.500 0.500 0.000
N1 0.000 0.500 0.500

Relative stability in eV/atom, measured from the most stable structure: version i 0.992; version ii 0.000

Version i
# TaMoI2N (PBE, relaxed)
# Total magnetization ... 5.3 μB per cell
# DOS(E_F) ... 2.8 states/eV per cell
# Theoretical density ... 7.03 g/cm3
data_TaMoI2N
_symmetry_space_group_name_H-M 'P 4/m m m'
_symmetry_Int_Tables_number 123
_symmetry_space_group_name_Hall '-P 4 2'
_cell_length_a 5.722
_cell_length_b 5.722
_cell_length_c 3.928
_cell_angle_alpha 90.00
_cell_angle_beta 90.00
_cell_angle_gamma 90.00
loop_
_atom_site_label
_atom_site_fract_x
_atom_site_fract_y
_atom_site_fract_z
Ta1 0.000 0.000 0.000
Mo1 0.500 0.500 0.500
I1 0.000 0.500 0.000
N1 0.000 0.000 0.500

Version ii
# TaMoI2N (PBE, relaxed)
# Total magnetization ... 2.9 μB per cell
# DOS(E_F) ... 5.1 states/eV per cell
# Theoretical density ... 7.76 g/cm3
data_TaMoI2N
_symmetry_space_group_name_H-M 'P 4/m m m'
_symmetry_Int_Tables_number 123
_symmetry_space_group_name_Hall '-P 4 2'
_cell_length_a 5.555
_cell_length_b 5.555
_cell_length_c 3.777
_cell_angle_alpha 90.00
_cell_angle_beta 90.00
_cell_angle_gamma 90.00
loop_
_atom_site_label
_atom_site_fract_x
_atom_site_fract_y
_atom_site_fract_z
Ta1 0.000 0.000 0.000
Mo1 0.500 0.500 0.500
I1 0.000 0.500 0.500
N1 0.500 0.500 0.000

Relative stability in eV/atom, measured from the most stable structure: version i 0.000; version ii 0.233

Version i
# Te2MoIN (PBE, relaxed)
# Total magnetization ... 0.0 μB per cell
# DOS(E_F) ... 5.6 states/eV per cell
# Theoretical density ... 7.85 g/cm3
data_Te2MoIN
_symmetry_space_group_name_H-M 'P 4/m m m'
_symmetry_Int_Tables_number 123
_symmetry_space_group_name_Hall '-P 4 2'
_cell_length_a 4.729
_cell_length_b 4.729
_cell_length_c 4.655
_cell_angle_alpha 90.00
_cell_angle_beta 90.00
_cell_angle_gamma 90.00
loop_
_atom_site_label
_atom_site_fract_x
_atom_site_fract_y
_atom_site_fract_z
Te1 0.000 0.500 0.000
Mo1 0.000 0.000 0.500
I1 0.500 0.500 0.500
N1 0.500 0.500 0.000

Version ii
# Te2MoIN (PBE, relaxed)
# Total magnetization ... 3.7 μB per cell
# DOS(E_F) ... 2.1 states/eV per cell
# Theoretical density ... 6.02 g/cm3
data_Te2MoIN
_symmetry_space_group_name_H-M 'P 4/m m m'
_symmetry_Int_Tables_number 123
_symmetry_space_group_name_Hall '-P 4 2'
_cell_length_a 5.879
_cell_length_b 5.879
_cell_length_c 3.927
_cell_angle_alpha 90.00
_cell_angle_beta 90.00
_cell_angle_gamma 90.00
loop_
_atom_site_label
_atom_site_fract_x
_atom_site_fract_y
_atom_site_fract_z
Te1 0.000 0.500 0.000
Mo1 0.000 0.000 0.500
I1 0.500 0.500 0.000
N1 0.500 0.500 0.500

Relative stability in eV/atom, measured from the most stable structure: version i 0.000; version ii 0.359

Version i
# Te2MoIN (PBE, relaxed)
# Total magnetization ... 0.0 μB per cell
# DOS(E_F) ... 3.8 states/eV per cell
# Theoretical density ... 6.85 g/cm3
data_Te2MoIN
_symmetry_space_group_name_H-M 'P 4/m m m'
_symmetry_Int_Tables_number 123
_symmetry_space_group_name_Hall '-P 4 2'
_cell_length_a 5.561
_cell_length_b 5.561
_cell_length_c 3.857
_cell_angle_alpha 90.00
_cell_angle_beta 90.00
_cell_angle_gamma 90.00
loop_
_atom_site_label
_atom_site_fract_x
_atom_site_fract_y
_atom_site_fract_z
Te1 0.000 0.500 0.000
Mo1 0.000 0.000 0.000
I1 0.500 0.500 0.500
N1 0.000 0.000 0.500

Version ii
# Te2MoIN (PBE, relaxed)
# Total magnetization ... 3.1 μB per cell
# DOS(E_F) ... 5.4 states/eV per cell
# Theoretical density ... 5.07 g/cm3
data_Te2MoIN
_symmetry_space_group_name_H-M 'P 4/m m m'
_symmetry_Int_Tables_number 123
_symmetry_space_group_name_Hall '-P 4 2'
_cell_length_a 5.234
_cell_length_b 5.234
_cell_length_c 5.885
_cell_angle_alpha 90.00
_cell_angle_beta 90.00
_cell_angle_gamma 90.00
loop_
_atom_site_label
_atom_site_fract_x
_atom_site_fract_y
_atom_site_fract_z
Te1 0.000 0.500 0.000
Mo1 0.000 0.000 0.000
I1 0.000 0.000 0.500
N1 0.500 0.500 0.500

Relative stability in eV/atom, measured from the most stable structure: version i 0.000; version ii 0.982

Version i
# TeMoI2N (PBE, relaxed)
# Total magnetization ... 0.3 μB per cell
# DOS(E_F) ... 4.5 states/eV per cell
# Theoretical density ... 6.58 g/cm3
data_TeMoI2N
_symmetry_space_group_name_H-M 'P 4/m m m'
_symmetry_Int_Tables_number 123
_symmetry_space_group_name_Hall '-P 4 2'
_cell_length_a 5.672
_cell_length_b 5.672
_cell_length_c 3.857
_cell_angle_alpha 90.00
_cell_angle_beta 90.00
_cell_angle_gamma 90.00
loop_
_atom_site_label
_atom_site_fract_x
_atom_site_fract_y
_atom_site_fract_z
Te1 0.000 0.000 0.000
Mo1 0.500 0.500 0.500
I1 0.000 0.500 0.500
N1 0.500 0.500 0.000

Version ii
# TeMoI2N (PBE, relaxed)
# Total magnetization ... 0.0 μB per cell
# DOS(E_F) ... 13.6 states/eV per cell
# Theoretical density ... 5.32 g/cm3
data_TeMoI2N
_symmetry_space_group_name_H-M 'P 4/m m m'
_symmetry_Int_Tables_number 123
_symmetry_space_group_name_Hall '-P 4 2'
_cell_length_a 5.432
_cell_length_b 5.432
_cell_length_c 5.201
_cell_angle_alpha 90.00
_cell_angle_beta 90.00
_cell_angle_gamma 90.00
loop_
_atom_site_label
_atom_site_fract_x
_atom_site_fract_y
_atom_site_fract_z
Te1 0.000 0.000 0.000
Mo1 0.000 0.000 0.500
I1 0.000 0.500 0.500
N1 0.500 0.500 0.000

Relative stability in eV/atom, measured from the most stable structure: version i 0.000; version ii 1.206

Version i
# TeMoI2N (PBE, relaxed)
# Total magnetization ... 0.0 μB per cell
# DOS(E_F) ... 5.8 states/eV per cell
# Theoretical density ... 7.52 g/cm3
data_TeMoI2N
_symmetry_space_group_name_H-M 'P 4/m m m'
_symmetry_Int_Tables_number 123
_symmetry_space_group_name_Hall '-P 4 2'
_cell_length_a 4.745
_cell_length_b 4.745
_cell_length_c 4.819
_cell_angle_alpha 90.00
_cell_angle_beta 90.00
_cell_angle_gamma 90.00
loop_
_atom_site_label
_atom_site_fract_x
_atom_site_fract_y
_atom_site_fract_z
Te1 0.000 0.000 0.000
Mo1 0.500 0.500 0.000
I1 0.000 0.500 0.500
N1 0.000 0.000 0.500

Version ii
# TeMoI2N (PBE, relaxed)
# Total magnetization ... 5.0 μB per cell
# DOS(E_F) ... 2.0 states/eV per cell
# Theoretical density ... 5.28 g/cm3
data_TeMoI2N
_symmetry_space_group_name_H-M 'P 4/m m m'
_symmetry_Int_Tables_number 123
_symmetry_space_group_name_Hall '-P 4 2'
_cell_length_a 6.222
_cell_length_b 6.222
_cell_length_c 3.991
_cell_angle_alpha 90.00
_cell_angle_beta 90.00
_cell_angle_gamma 90.00
loop_
_atom_site_label
_atom_site_fract_x
_atom_site_fract_y
_atom_site_fract_z
Te1 0.000 0.000 0.000
Mo1 0.500 0.500 0.500
I1 0.000 0.500 0.000
N1 0.000 0.000 0.500

Relative stability in eV/atom, measured from the most stable structure: version i 0.241; version ii 0.000

Version i
# TiMoIN2 (PBE, relaxed)
# Total magnetization ... 3.4 μB per cell
# DOS(E_F) ... 2.4 states/eV per cell
# Theoretical density ... 5.50 g/cm3
data_TiMoIN2
_symmetry_space_group_name_H-M 'P 4/m m m'
_symmetry_Int_Tables_number 123
_symmetry_space_group_name_Hall '-P 4 2'
_cell_length_a 3.989
_cell_length_b 3.989
_cell_length_c 5.668
_cell_angle_alpha 90.00
_cell_angle_beta 90.00
_cell_angle_gamma 90.00
loop_
_atom_site_label
_atom_site_fract_x
_atom_site_fract_y
_atom_site_fract_z
Ti1 0.000 0.000 0.000
Mo1 0.500 0.500 0.500
I1 0.000 0.000 0.500
N1 0.000 0.500 0.000

Version ii
# TiMoIN2 (PBE, relaxed)
# Total magnetization ... 0.2 μB per cell
# DOS(E_F) ... 6.8 states/eV per cell
# Theoretical density ... 5.66 g/cm3
data_TiMoIN2
_symmetry_space_group_name_H-M 'P 4/m m m'
_symmetry_Int_Tables_number 123
_symmetry_space_group_name_Hall '-P 4 2'
_cell_length_a 3.970
_cell_length_b 3.970
_cell_length_c 5.562
_cell_angle_alpha 90.00
_cell_angle_beta 90.00
_cell_angle_gamma 90.00
loop_
_atom_site_label
_atom_site_fract_x
_atom_site_fract_y
_atom_site_fract_z
Ti1 0.000 0.000 0.000
Mo1 0.500 0.500 0.500
I1 0.500 0.500 0.000
N1 0.000 0.500 0.500

Relative stability in eV/atom, measured from the most stable structure: version i 0.155; version ii 0.000